i:
! BaIrNO, optimized geometry, DFT PBE; values from VASP
! - Space group: Cm, No. 8
&SYSTEM
  ibrav = 0, nat = 8, ntyp = 4
/
ATOMIC_SPECIES
Ir 192.22 Ir.upf
O 16.00 O.upf
N 14.01 N.upf
Ba 137.33 Ba.upf
CELL_PARAMETERS angstrom
-3.6411 1.4608 -0.4178
-0.7468 -2.3132 3.1077
2.1620 7.0342 5.7552
ATOMIC_POSITIONS angstrom
Ir -1.8346 4.0390 3.3446
Ir -0.3876 2.1521 5.1073
O 0.6915 5.6598 7.9767
O -0.7558 7.5470 6.2138
N -0.2019 2.7085 3.0651
Ba -2.9364 0.5099 2.9565
N -2.0267 3.4837 5.3932
Ba 0.7097 5.6620 5.4785


ii:
! BaIrNO, optimized geometry, DFT PBE; values from VASP
! - Space group: Pmc2_1, No. 26
&SYSTEM
  ibrav = 0, nat = 8, ntyp = 4
/
ATOMIC_SPECIES
Ba 137.33 Ba.upf
N 14.01 N.upf
Ir 192.22 Ir.upf
O 16.00 O.upf
CELL_PARAMETERS angstrom
2.3062 1.4784 -2.5265
2.6361 3.1257 4.2354
4.0873 -4.7424 0.9559
ATOMIC_POSITIONS angstrom
Ba 2.1023 0.7845 2.3781
Ba 3.4152 -3.8310 0.8757
N 1.4549 -1.6807 0.3446
Ir 2.5959 -0.8437 -0.8726
Ir 5.1933 -0.7654 1.5444
O 2.0856 0.9981 -0.2605
N 3.9567 -1.4914 2.7391
O 6.7690 -1.3439 2.6442


iii:
! BaIrNO, optimized geometry, DFT PBE; values from VASP
! - Space group: P4/nmm, No. 129
&SYSTEM
  ibrav = 0, nat = 8, ntyp = 4
/
ATOMIC_SPECIES
Ir 192.22 Ir.upf
Ba 137.33 Ba.upf
O 16.00 O.upf
N 14.01 N.upf
CELL_PARAMETERS angstrom
-3.2950 2.4722 2.9488
2.8667 -1.0126 4.0522
2.7331 4.5831 -0.7883
ATOMIC_POSITIONS angstrom
Ir 4.1370 4.0275 1.2463
Ir -1.6181 1.2854 1.4659
Ba 1.1524 3.0213 3.1064
Ba 1.3665 2.2915 -0.3941
O 0.0000 0.0000 0.0000
O -0.2141 0.7298 3.5005
N -0.6890 2.8434 1.1979
N 3.2079 2.4695 1.5143


Least stable of them? iii.


i:
! BaIrNO, optimized geometry, DFT PBE; values from VASP
! - Space group: Pca2_1, No. 29
&SYSTEM
  ibrav = 0, nat = 16, ntyp = 4
/
ATOMIC_SPECIES
Ba 137.33 Ba.upf
Ir 192.22 Ir.upf
O 16.00 O.upf
N 14.01 N.upf
CELL_PARAMETERS angstrom
6.4236 0.0000 0.0000
0.0000 7.9848 0.0000
0.0000 0.0000 5.2406
ATOMIC_POSITIONS angstrom
Ba 2.8150 5.3910 2.6560
Ir 0.9441 0.8560 0.0903
O 3.1979 5.2294 5.2270
Ir 5.4795 7.1288 2.7106
Ba 3.6086 2.5938 0.0357
O 0.0139 5.2294 2.6066
Ir 4.1559 7.1288 0.0903
O 6.4097 2.7554 5.2270
N 5.6388 0.0165 0.9484
Ba 0.3968 5.3910 0.0357
O 3.2257 2.7554 2.6066
N 0.7848 7.9682 3.5687
N 2.4270 7.9682 0.9484
Ir 2.2677 0.8560 2.7106
N 3.9966 0.0165 3.5687
Ba 6.0268 2.5938 2.6560


ii:
! BaIrNO, optimized geometry, DFT PBE; values from VASP
! - Space group: Pmc2_1, No. 26
&SYSTEM
  ibrav = 0, nat = 8, ntyp = 4
/
ATOMIC_SPECIES
N 14.01 N.upf
Ir 192.22 Ir.upf
Ba 137.33 Ba.upf
O 16.00 O.upf
CELL_PARAMETERS angstrom
-2.1165 -3.6658 0.0000
0.0000 0.0000 7.5510
-3.5595 2.0551 0.0000
ATOMIC_POSITIONS angstrom
N -1.7829 1.0293 5.1933
Ir -1.7816 1.0286 3.3043
Ir -1.7779 1.0265 7.0798
Ba -1.0597 -1.8321 5.1953
O -2.8298 -0.8101 3.3271
O -2.8461 -0.8007 7.1026
Ba -4.6163 0.2213 1.4198
N -1.7766 1.0257 1.4177


Least stable of them? i.


i:
! BaNaIr, optimized geometry, DFT PBE; values from VASP
! - Space group: F-43m, No. 216
&SYSTEM
  ibrav = 0, nat = 3, ntyp = 3
/
ATOMIC_SPECIES
Ba 137.33 Ba.upf
Ir 192.22 Ir.upf
Na 22.99 Na.upf
CELL_PARAMETERS angstrom
2.5099 0.9442 4.2357
0.8820 4.7357 1.3884
-2.3952 1.9406 3.9534
ATOMIC_POSITIONS angstrom
Ba 0.0000 0.0000 0.0000
Ir 0.2492 1.9051 2.3944
Na 0.7475 5.7154 7.1831


ii:
! BaNaIr, optimized geometry, DFT PBE; values from VASP
! - Space group: F-43m, No. 216
&SYSTEM
  ibrav = 0, nat = 3, ntyp = 3
/
ATOMIC_SPECIES
Na 22.99 Na.upf
Ba 137.33 Ba.upf
Ir 192.22 Ir.upf
CELL_PARAMETERS angstrom
0.0000 3.5547 3.5547
3.5547 0.0000 3.5547
3.5547 3.5547 0.0000
ATOMIC_POSITIONS angstrom
Na 5.3321 5.3321 5.3321
Ba 1.7773 1.7773 1.7773
Ir 0.0000 0.0000 0.0000


Least stable of them? i.


i:
! Ba2NaIrS6, optimized geometry, DFT PBE; values from VASP
! - Space group: P-1, No. 2
&SYSTEM
  ibrav = 0, nat = 10, ntyp = 4
/
ATOMIC_SPECIES
S 32.06 S.upf
Ba 137.33 Ba.upf
Ir 192.22 Ir.upf
Na 22.99 Na.upf
CELL_PARAMETERS angstrom
-4.2742 3.3941 -2.3089
0.5767 -6.3539 -2.8557
-1.6066 -2.7494 6.4823
ATOMIC_POSITIONS angstrom
S -3.2643 -5.0760 2.0329
S -2.8070 -1.3809 3.1282
Ba -0.0531 -5.5449 -0.5244
S -4.3133 1.1544 -1.9261
Ir -2.1371 1.6971 -1.1544
Ba -5.2509 -0.1642 1.8421
S -2.0398 -0.6331 -0.7152
Na -2.6520 -2.8546 0.6589
S -0.9908 -6.8635 3.2438
S -2.4971 -4.3282 -1.8105


ii:
! Ba2NaIrS6, optimized geometry, DFT PBE; values from VASP
! - Space group: I4/m, No. 87
&SYSTEM
  ibrav = 0, nat = 10, ntyp = 4
/
ATOMIC_SPECIES
S 32.06 S.upf
Ba 137.33 Ba.upf
Ir 192.22 Ir.upf
Na 22.99 Na.upf
CELL_PARAMETERS angstrom
-3.4933 3.4933 4.9427
3.4933 -3.4933 4.9427
3.4933 3.4933 -4.9427
ATOMIC_POSITIONS angstrom
S 1.6203 1.6995 0.0000
S 1.8730 1.7938 4.9427
Ba 3.4933 0.0000 2.4713
Ir 0.0000 0.0000 0.0000
S 5.2871 1.6203 0.0000
S 0.0000 0.0000 7.5372
S -1.7938 1.8730 4.9427
Ba 0.0000 3.4933 2.4713
Na 0.0000 0.0000 4.9427
S 0.0000 0.0000 2.3481


Least stable of them? ii.


i:
! Ba2NaIrSe6, optimized geometry, DFT PBE; values from VASP
! - Space group: I4/m, No. 87
&SYSTEM
  ibrav = 0, nat = 10, ntyp = 4
/
ATOMIC_SPECIES
Se 78.96 Se.upf
Na 22.99 Na.upf
Ba 137.33 Ba.upf
Ir 192.22 Ir.upf
CELL_PARAMETERS angstrom
-0.8618 -6.7333 2.7225
-7.2256 0.5110 -1.0109
4.5672 1.1257 -5.6006
ATOMIC_POSITIONS angstrom
Se -6.1531 -4.7341 1.3022
Na -4.0437 -3.1112 0.8558
Ba -0.1692 -4.3594 -1.0111
Se 0.2960 -1.0019 -2.2435
Se -2.3768 -5.0287 1.7614
Se -1.9344 -1.4883 0.4094
Ir 0.0000 0.0000 0.0000
Se -1.1435 -0.0680 -5.6504
Ba -3.3511 -0.7373 -2.8778
Se -3.8163 -4.0948 -1.6455


ii:
! Ba2NaIrSe6, optimized geometry, DFT PBE; values from VASP
! - Space group: C2/m, No. 12
&SYSTEM
  ibrav = 0, nat = 10, ntyp = 4
/
ATOMIC_SPECIES
Ba 137.33 Ba.upf
Ir 192.22 Ir.upf
Se 78.96 Se.upf
Na 22.99 Na.upf
CELL_PARAMETERS angstrom
-7.2911 0.7437 -0.7999
-5.0020 -4.5165 -2.9890
3.9239 -1.3630 7.3782
ATOMIC_POSITIONS angstrom
Ba -8.2656 -3.1187 -1.1493
Ir 0.0000 0.0000 0.0000
Se -3.2760 -1.2594 4.1563
Se -6.3043 -1.0935 0.5911
Se -2.0649 -4.0423 2.9981
Se -2.3155 -1.0626 0.1320
Ba -0.1036 -2.0171 4.7386
Na -4.1846 -2.5679 1.7946
Se -5.0932 -3.8764 -0.5670
Se -6.0537 -4.0732 3.4572


Least stable of them? i.


i:
! BaNaIrW, optimized geometry, DFT PBE; values from VASP
! - Space group: F-43m, No. 216
&SYSTEM
  ibrav = 0, nat = 4, ntyp = 4
/
ATOMIC_SPECIES
Na 22.99 Na.upf
W 183.84 W.upf
Ba 137.33 Ba.upf
Ir 192.22 Ir.upf
CELL_PARAMETERS angstrom
3.5997 0.4086 3.2817
2.6292 4.1137 0.2445
-0.5082 3.0018 3.8243
ATOMIC_POSITIONS angstrom
Na 4.2905 5.6430 5.5129
W 1.4302 1.8810 1.8376
Ba 2.8604 3.7620 3.6753
Ir 0.0000 0.0000 0.0000


ii:
! BaNaIrW, optimized geometry, DFT PBE; values from VASP
! - Space group: F-43m, No. 216
&SYSTEM
  ibrav = 0, nat = 4, ntyp = 4
/
ATOMIC_SPECIES
Ba 137.33 Ba.upf
Na 22.99 Na.upf
W 183.84 W.upf
Ir 192.22 Ir.upf
CELL_PARAMETERS angstrom
0.0000 3.5553 3.5553
3.5553 0.0000 3.5553
3.5553 3.5553 0.0000
ATOMIC_POSITIONS angstrom
Ba 0.0000 0.0000 0.0000
Na 5.3329 5.3329 5.3329
W 3.5553 3.5553 3.5553
Ir 1.7776 1.7776 1.7776


Least stable of them? ii.


i:
! BaIr2O4, optimized geometry, DFT PBE; values from VASP
! - Space group: Fd-3m, No. 227
&SYSTEM
  ibrav = 0, nat = 14, ntyp = 3
/
ATOMIC_SPECIES
O 16.00 O.upf
Ir 192.22 Ir.upf
Ba 137.33 Ba.upf
CELL_PARAMETERS angstrom
4.6540 -4.6556 0.0000
-4.6540 0.0000 -4.6556
4.6540 4.6556 0.0000
ATOMIC_POSITIONS angstrom
O -0.8967 0.8964 -3.7591
O 0.8967 -0.8964 -3.7591
Ir 5.8175 -1.1639 -1.1639
O 3.2237 3.2242 -1.4314
Ir 3.4905 1.1639 -1.1639
Ba 0.0000 0.0000 0.0000
O 5.5507 0.8964 -0.8964
O 1.4303 3.2242 -3.2242
Ir 1.1635 1.1639 -3.4917
Ir -1.1635 -1.1639 -3.4917
O 3.7573 -0.8964 -0.8964
O 1.4303 1.4313 -1.4314
Ba 2.3270 -2.3278 -2.3278
O 3.2237 1.4314 -3.2242


ii:
! BaIr2O4, optimized geometry, DFT PBE; values from VASP
! - Space group: P6_322, No. 182
&SYSTEM
  ibrav = 0, nat = 14, ntyp = 3
/
ATOMIC_SPECIES
Ir 192.22 Ir.upf
O 16.00 O.upf
Ba 137.33 Ba.upf
CELL_PARAMETERS angstrom
5.4217 0.0000 0.0000
-2.7109 4.6954 0.0000
0.0000 0.0000 8.9053
ATOMIC_POSITIONS angstrom
Ir 0.0000 3.1302 4.3045
O 2.7109 1.5651 6.6790
O 0.0000 3.1302 2.2263
Ir 2.7109 1.5651 4.6008
Ir 0.0000 3.1302 0.1481
O -0.7757 1.3436 4.4527
Ir 2.7109 1.5651 8.7572
O -1.9352 3.3518 0.0000
O 1.9352 3.3518 4.4527
Ba 0.0000 0.0000 2.2263
O 3.8703 0.0000 0.0000
O 0.7757 1.3436 0.0000
Ba 0.0000 0.0000 6.6790
O 1.5514 0.0000 4.4527


Least stable of them? ii.


i:
! BaIrPd, optimized geometry, DFT PBE; values from VASP
! - Space group: F-43m, No. 216
&SYSTEM
  ibrav = 0, nat = 3, ntyp = 3
/
ATOMIC_SPECIES
Ba 137.33 Ba.upf
Pd 106.42 Pd.upf
Ir 192.22 Ir.upf
CELL_PARAMETERS angstrom
-2.8056 1.4812 3.6130
-0.8251 4.6943 0.6343
-4.3517 1.8229 -0.9271
ATOMIC_POSITIONS angstrom
Ba -1.9956 1.9996 0.8301
Pd -5.9868 5.9988 2.4902
Ir 0.0000 0.0000 0.0000


ii:
! BaIrPd, optimized geometry, DFT PBE; values from VASP
! - Space group: F-43m, No. 216
&SYSTEM
  ibrav = 0, nat = 3, ntyp = 3
/
ATOMIC_SPECIES
Pd 106.42 Pd.upf
Ba 137.33 Ba.upf
Ir 192.22 Ir.upf
CELL_PARAMETERS angstrom
-1.9221 -4.3977 0.7476
-2.4559 -0.9138 4.0899
-4.8178 -0.6010 -0.1429
ATOMIC_POSITIONS angstrom
Pd -6.8969 -4.4344 3.5209
Ba 0.0000 0.0000 0.0000
Ir -2.2989 -1.4781 1.1736


Least stable of them? ii.


i:
! BaIrPt, optimized geometry, DFT PBE; values from VASP
! - Space group: F-43m, No. 216
&SYSTEM
  ibrav = 0, nat = 3, ntyp = 3
/
ATOMIC_SPECIES
Ba 137.33 Ba.upf
Ir 192.22 Ir.upf
Pt 195.08 Pt.upf
CELL_PARAMETERS angstrom
-3.6657 -2.1486 -2.3090
-4.1334 2.4000 -0.7351
-1.2114 1.4191 -4.4614
ATOMIC_POSITIONS angstrom
Ba 0.0000 0.0000 0.0000
Ir -2.2526 0.4176 -1.8764
Pt -6.7579 1.2529 -5.6291


ii:
! BaIrPt, optimized geometry, DFT PBE; values from VASP
! - Space group: F-43m, No. 216
&SYSTEM
  ibrav = 0, nat = 3, ntyp = 3
/
ATOMIC_SPECIES
Ba 137.33 Ba.upf
Ir 192.22 Ir.upf
Pt 195.08 Pt.upf
CELL_PARAMETERS angstrom
-2.5667 -3.5546 1.9028
0.1878 -0.8315 4.7029
-3.7785 0.9896 2.7546
ATOMIC_POSITIONS angstrom
Ba -1.5394 -0.8491 2.3401
Ir 0.0000 0.0000 0.0000
Pt -4.6181 -2.5473 7.0202


Least stable of them? i.


i:
! BaReIr, optimized geometry, DFT PBE; values from VASP
! - Space group: F-43m, No. 216
&SYSTEM
  ibrav = 0, nat = 3, ntyp = 3
/
ATOMIC_SPECIES
Ir 192.22 Ir.upf
Re 186.21 Re.upf
Ba 137.33 Ba.upf
CELL_PARAMETERS angstrom
0.0000 3.3778 3.3778
3.3778 0.0000 3.3778
3.3778 3.3778 0.0000
ATOMIC_POSITIONS angstrom
Ir 1.6889 1.6889 1.6889
Re 5.0666 5.0666 5.0666
Ba 0.0000 0.0000 0.0000


ii:
! BaReIr, optimized geometry, DFT PBE; values from VASP
! - Space group: F-43m, No. 216
&SYSTEM
  ibrav = 0, nat = 3, ntyp = 3
/
ATOMIC_SPECIES
Ir 192.22 Ir.upf
Ba 137.33 Ba.upf
Re 186.21 Re.upf
CELL_PARAMETERS angstrom
0.0000 3.2889 3.2889
3.2889 0.0000 3.2889
3.2889 3.2889 0.0000
ATOMIC_POSITIONS angstrom
Ir 4.9333 4.9333 4.9333
Ba 1.6444 1.6444 1.6444
Re 0.0000 0.0000 0.0000


Least stable of them? i.


i:
! BaTaIr, optimized geometry, DFT PBE; values from VASP
! - Space group: F-43m, No. 216
&SYSTEM
  ibrav = 0, nat = 3, ntyp = 3
/
ATOMIC_SPECIES
Ba 137.33 Ba.upf
Ta 180.95 Ta.upf
Ir 192.22 Ir.upf
CELL_PARAMETERS angstrom
0.0000 3.4123 3.4123
3.4123 0.0000 3.4123
3.4123 3.4123 0.0000
ATOMIC_POSITIONS angstrom
Ba 1.7062 1.7062 1.7062
Ta 5.1185 5.1185 5.1185
Ir 0.0000 0.0000 0.0000


ii:
! BaTaIr, optimized geometry, DFT PBE; values from VASP
! - Space group: F-43m, No. 216
&SYSTEM
  ibrav = 0, nat = 3, ntyp = 3
/
ATOMIC_SPECIES
Ta 180.95 Ta.upf
Ir 192.22 Ir.upf
Ba 137.33 Ba.upf
CELL_PARAMETERS angstrom
0.0000 3.3290 3.3290
3.3290 0.0000 3.3290
3.3290 3.3290 0.0000
ATOMIC_POSITIONS angstrom
Ta 4.9936 4.9936 4.9936
Ir 1.6645 1.6645 1.6645
Ba 0.0000 0.0000 0.0000


Least stable of them? ii.


i:
! BaTbIr, optimized geometry, DFT PBE; values from VASP
! - Space group: F-43m, No. 216
&SYSTEM
  ibrav = 0, nat = 3, ntyp = 3
/
ATOMIC_SPECIES
Ba 137.33 Ba.upf
Ir 192.22 Ir.upf
Tb 158.93 Tb.upf
CELL_PARAMETERS angstrom
2.5301 1.4608 4.1317
-2.5301 1.4608 4.1317
0.0000 -2.9215 4.1317
ATOMIC_POSITIONS angstrom
Ba 0.0000 0.0000 9.2962
Ir 0.0000 0.0000 0.0000
Tb 0.0000 0.0000 3.0987


ii:
! BaTbIr, optimized geometry, DFT PBE; values from VASP
! - Space group: F-43m, No. 216
&SYSTEM
  ibrav = 0, nat = 3, ntyp = 3
/
ATOMIC_SPECIES
Ba 137.33 Ba.upf
Tb 158.93 Tb.upf
Ir 192.22 Ir.upf
CELL_PARAMETERS angstrom
0.0000 3.4781 3.4781
3.4781 0.0000 3.4781
3.4781 3.4781 0.0000
ATOMIC_POSITIONS angstrom
Ba 0.0000 0.0000 0.0000
Tb 5.2172 5.2172 5.2172
Ir 1.7391 1.7391 1.7391


Least stable of them? ii.


i:
! BaZn2Ir2, optimized geometry, DFT PBE; values from VASP
! - Space group: I4/mmm, No. 139
&SYSTEM
  ibrav = 0, nat = 5, ntyp = 3
/
ATOMIC_SPECIES
Ir 192.22 Ir.upf
Zn 65.41 Zn.upf
Ba 137.33 Ba.upf
CELL_PARAMETERS angstrom
0.3408 -5.5012 -3.0896
3.7256 -4.7727 1.8073
-4.2526 4.0468 2.3374
ATOMIC_POSITIONS angstrom
Ir 0.7531 -2.9314 1.7518
Zn 2.5248 -6.3790 -0.7961
Ba 0.0000 0.0000 0.0000
Zn 1.5416 -3.8949 -0.4861
Ir -0.9393 -3.2957 -0.6966


ii:
! BaZn2Ir2, optimized geometry, DFT PBE; values from VASP
! - Space group: I4/mmm, No. 139
&SYSTEM
  ibrav = 0, nat = 5, ntyp = 3
/
ATOMIC_SPECIES
Zn 65.41 Zn.upf
Ir 192.22 Ir.upf
Ba 137.33 Ba.upf
CELL_PARAMETERS angstrom
-4.1939 2.6216 3.5037
-5.7994 -0.6571 -1.6349
4.8050 -3.6068 0.8000
ATOMIC_POSITIONS angstrom
Zn -2.9955 -1.6408 0.0498
Ir -6.1791 1.2147 1.1555
Ir -3.8142 0.7498 0.7133
Zn -2.1928 -0.0015 2.6191
Ba 0.0000 0.0000 0.0000


Least stable of them? i.